Here is a relaxed structure of Tb3Cu8Hg from the Alexandria database. Energies are from PBE.

Results
Uncorrected energy: -49.35 eV/cell
ΔH_f (0 K): -2.4 eV per formula unit
Space-group type: R3m, No. 160

Cell: 9.0445 9.0445 9.0445 Å, 33.36 33.36 33.36°
Positions (direct):
Tb 0.0000 0.0000 0.0000
Tb 0.1271 0.1271 0.1271
Tb 0.6143 0.6143 0.6143
Cu 0.0556 0.0556 0.5665
Cu 0.0564 0.5593 0.5593
Cu 0.0556 0.5665 0.0556
Cu 0.3079 0.3079 0.3079
Cu 0.5593 0.0564 0.5593
Cu 0.5593 0.5593 0.0564
Cu 0.5665 0.0556 0.0556
Cu 0.8095 0.8095 0.8095
Hg 0.4925 0.4925 0.4925

***

Here is a relaxed structure of Tb5CuHg4 from the Alexandria database. Energies are from PBE.

Results
Uncorrected energy: -32.67 eV/cell
ΔH_f (0 K): -4.2 eV per formula unit
Space-group type: P4/mmm, No. 123

Cell: 3.6540 3.6540 18.8591 Å, 90.00 90.00 90.00°
Positions (direct):
Tb 0.0000 0.0000 0.0000
Tb 0.0000 0.0000 0.2054
Tb 0.0000 0.0000 0.4117
Tb 0.0000 0.0000 0.5883
Tb 0.0000 0.0000 0.7946
Cu 0.5000 0.5000 0.5000
Hg 0.5000 0.5000 0.1021
Hg 0.5000 0.5000 0.3074
Hg 0.5000 0.5000 0.6926
Hg 0.5000 0.5000 0.8979

***

Here is a relaxed structure of TbCuHg2 from the Alexandria database. Energies are from PBE.

Results
Uncorrected energy: -20.78 eV/cell
ΔH_f (0 K): -1.1 eV per formula unit
Space-group type: I4/mmm, No. 139

Cell: 8.8235 8.8235 8.8235 Å, 149.60 149.60 43.53°
Positions (direct):
Tb 0.1403 0.1403 0.0000
Tb 0.8597 0.8597 0.0000
Cu 0.2500 0.7500 0.5000
Cu 0.7500 0.2500 0.5000
Hg 0.0000 0.5000 0.5000
Hg 0.3428 0.3428 0.0000
Hg 0.5000 0.0000 0.5000
Hg 0.6572 0.6572 0.0000

***

Here is a relaxed structure of TbCuHg2 from the Alexandria database. Energies are from PBE.

Results
Uncorrected energy: -10.26 eV/cell
ΔH_f (0 K): -0.9 eV per formula unit
Space-group type: Fm-3m, No. 225

Cell: 4.9373 4.9373 4.9373 Å, 60.00 60.00 60.00°
Positions (direct):
Tb 0.0000 0.0000 0.0000
Cu 0.5000 0.5000 0.5000
Hg 0.2500 0.2500 0.2500
Hg 0.7500 0.7500 0.7500

***

Here is a relaxed structure of Tb4Cu2Hg5 from the Alexandria database. Energies are from PBE.

Results
Uncorrected energy: -32.23 eV/cell
ΔH_f (0 K): -4.0 eV per formula unit
Space-group type: P2/m, No. 10

Cell: 7.5354 3.7065 9.4239 Å, 90.00 92.61 90.00°
Positions (direct):
Tb 0.1832 0.0000 0.3538
Tb 0.2340 0.0000 0.9295
Tb 0.7660 0.0000 0.0705
Tb 0.8168 0.0000 0.6462
Cu 0.0630 0.5000 0.1254
Cu 0.9370 0.5000 0.8746
Hg 0.1600 0.5000 0.6439
Hg 0.4375 0.5000 0.1684
Hg 0.5000 0.5000 0.5000
Hg 0.5625 0.5000 0.8316
Hg 0.8400 0.5000 0.3561

***

Here is a relaxed structure of TbCu9Hg2 from the Alexandria database. Energies are from PBE.

Results
Uncorrected energy: -42.94 eV/cell
ΔH_f (0 K): -0.8 eV per formula unit
Space-group type: R-3m, No. 166

Cell: 8.5114 8.5114 8.5114 Å, 34.91 34.91 34.91°
Positions (direct):
Tb 0.0000 0.0000 0.0000
Cu 0.0811 0.5847 0.5847
Cu 0.3334 0.3334 0.3334
Cu 0.4153 0.4153 0.9189
Cu 0.4153 0.9189 0.4153
Cu 0.5000 0.5000 0.5000
Cu 0.5847 0.0811 0.5847
Cu 0.5847 0.5847 0.0811
Cu 0.6666 0.6666 0.6666
Cu 0.9189 0.4153 0.4153
Hg 0.1400 0.1400 0.1400
Hg 0.8600 0.8600 0.8600